# 1
# PBE-GGA Ce3Pu2Os4, relaxed
data_Ce3Pu2Os4
_space_group_name_H-M_alt 'C 1 2/m 1'
_space_group_IT_number 12
_space_group_name_Hall '-C 2y'
_cell_length_a 10.799
_cell_length_b 4.359
_cell_length_c 8.730
_cell_angle_alpha 90.00
_cell_angle_beta 100.91
_cell_angle_gamma 90.00
loop_
_atom_site_label
_atom_site_fract_x
_atom_site_fract_y
_atom_site_fract_z
_atom_site_occupancy
Ce1 0.000 0.000 0.000 1
Ce2 0.124 0.500 0.383 1
Pu1 0.182 0.500 0.773 1
Os1 0.070 0.000 0.640 1
Os2 0.206 0.500 0.092 1
# VASP energy: -10.231 eV/atom
# ΔH_f (0 K): -0.0767 eV/atom

=====

# 2
# PBE-GGA CePuOs4, relaxed
data_CePuOs4
_space_group_name_H-M_alt 'F -4 3 m'
_space_group_IT_number 216
_space_group_name_Hall 'F -4 2 3'
_cell_length_a 7.602
_cell_length_b 7.602
_cell_length_c 7.602
_cell_angle_alpha 90.00
_cell_angle_beta 90.00
_cell_angle_gamma 90.00
loop_
_atom_site_label
_atom_site_fract_x
_atom_site_fract_y
_atom_site_fract_z
_atom_site_occupancy
Ce1 0.000 0.000 0.000 1
Pu1 0.250 0.250 0.750 1
Os1 0.125 0.125 0.375 1
# VASP energy: -11.021 eV/atom
# ΔH_f (0 K): -0.1570 eV/atom

=====

# 3
# PBE-GGA Ce5PuOs2, relaxed
data_Ce5PuOs2
_space_group_name_H-M_alt 'C 1 2/c 1'
_space_group_IT_number 15
_space_group_name_Hall '-C 2yc'
_cell_length_a 16.618
_cell_length_b 6.651
_cell_length_c 7.234
_cell_angle_alpha 90.00
_cell_angle_beta 100.96
_cell_angle_gamma 90.00
loop_
_atom_site_label
_atom_site_fract_x
_atom_site_fract_y
_atom_site_fract_z
_atom_site_occupancy
Ce1 0.000 0.059 0.250 1
Ce2 0.089 0.426 0.924 1
Ce3 0.211 0.110 0.322 1
Pu1 0.250 0.250 0.000 1
Os1 0.101 0.214 0.601 1
# VASP energy: -8.316 eV/atom
# ΔH_f (0 K): -0.0087 eV/atom

=====

# 4
# PBE-GGA Ce3PuOs3, relaxed
data_Ce3PuOs3
_space_group_name_H-M_alt 'C 1 2/m 1'
_space_group_IT_number 12
_space_group_name_Hall '-C 2y'
_cell_length_a 10.630
_cell_length_b 9.508
_cell_length_c 6.514
_cell_angle_alpha 90.00
_cell_angle_beta 102.32
_cell_angle_gamma 90.00
loop_
_atom_site_label
_atom_site_fract_x
_atom_site_fract_y
_atom_site_fract_z
_atom_site_occupancy
Ce1 0.000 0.190 0.000 1
Ce2 0.000 0.284 0.500 1
Ce3 0.193 0.500 0.008 1
Pu1 0.217 0.000 0.439 1
Os1 0.057 0.000 0.720 1
Os2 0.241 0.247 0.747 1
# VASP energy: -9.477 eV/atom
# ΔH_f (0 K): -0.0734 eV/atom